# Pm4GeH PBE relaxed
data_Pm4GeH
_chemical_formula_sum 'Pm8 Ge2 H2'
_symmetry_space_group_name_H-M 'P 1'
_symmetry_Int_Tables_number 1
_cell_length_a 6.8295
_cell_length_b 7.0946
_cell_length_c 7.6580
_cell_angle_alpha 105.13
_cell_angle_beta 116.48
_cell_angle_gamma 90.00
loop_
_symmetry_equiv_pos_as_xyz
'x,y,z'
loop_
_atom_site_label
_atom_site_fract_x
_atom_site_fract_y
_atom_site_fract_z
_atom_site_occupancy
Pm1 0.2274 0.1496 0.2874 1
Pm2 0.7726 0.8504 0.7126 1
Pm3 0.4707 0.5236 0.7821 1
Pm4 0.0599 0.6496 0.2874 1
Pm5 0.6886 0.9764 0.2179 1
Pm6 0.3114 0.0236 0.7821 1
Pm7 0.5293 0.4764 0.2179 1
Pm8 0.9401 0.3504 0.7126 1
Ge1 0.2118 0.7500 0.0000 1
Ge2 0.7882 0.2500 0.0000 1
H1 0.0000 0.0000 0.5000 1
H2 0.5000 0.5000 0.5000 1
# VASP energy: -4.7958 eV per atom
# V: 26.473 Å³ per atom
# total moment: 0.00 μB/f.u.
# symmetry: C2/c